1.
VASP calculation (PBE) on a relaxed ScAlMo2 crystal.

Calculated density ... 6.45 Mg/m³
Space group ... P2/m, No. 10
Total energy ... -7.93 eV/atom
Energy of formation ... 0.01 eV/atom

Unit cell a=4.631 b=2.815 c=5.285 alpha=80.41 beta=90.00 gamma=90.00
Positions (direct):
Al: 0.500 0.750 0.750
Mo: 0.000 0.958 0.012
Mo: 0.000 0.542 0.488
Sc: 0.500 0.250 0.250

---

2.
VASP calculation (PBE) on a relaxed Sc2AlMo crystal.

Calculated density ... 4.56 Mg/m³
Space group ... R3m, No. 160
Total energy ... -6.69 eV/atom
Energy of formation ... 0.11 eV/atom

Unit cell a=9.946 b=9.946 c=9.946 alpha=17.48 beta=17.48 gamma=17.48
Positions (direct):
Mo: 0.755 0.755 0.755
Al: 0.494 0.494 0.494
Sc: 0.245 0.245 0.245
Sc: 0.006 0.006 0.006

---

3.
VASP calculation (PBE) on a relaxed ScAl2Mo crystal.

Calculated density ... 4.26 Mg/m³
Space group ... I-42d, No. 122
Total energy ... -5.85 eV/atom
Energy above the lowest structure with this stoichiometry ... 247.0 kJ/mol of formula units
Energy of formation ... 0.32 eV/atom

Unit cell a=3.962 b=3.962 c=10.071 alpha=78.66 beta=78.66 gamma=90.00
Positions (direct):
Mo: 0.750 0.250 0.500
Mo: 0.000 0.000 0.000
Al: 0.093 0.625 0.250
Al: 0.657 0.125 0.250
Al: 0.875 0.907 0.750
Al: 0.375 0.343 0.750
Sc: 0.500 0.500 0.000
Sc: 0.250 0.750 0.500

---

4.
VASP calculation (PBE) on a relaxed ScAlMo2 crystal.

Calculated density ... 6.47 Mg/m³
Space group ... I4/mmm, No. 139
Total energy ... -7.94 eV/atom
Energy of formation ... -0.01 eV/atom

Unit cell a=5.250 b=5.250 c=5.250 alpha=136.48 beta=136.48 gamma=63.24
Positions (direct):
Al: 0.750 0.250 0.500
Mo: 0.500 0.500 0.000
Mo: 0.000 0.000 0.000
Sc: 0.250 0.750 0.500

---

5.
VASP calculation (PBE) on a relaxed ScAlMo2 crystal.

Calculated density ... 6.40 Mg/m³
Space group ... P4mm, No. 99
Total energy ... -8.16 eV/atom
Energy of formation ... -0.22 eV/atom

Unit cell a=3.244 b=3.244 c=6.502 alpha=90.00 beta=90.00 gamma=90.00
Positions (direct):
Sc: 0.000 0.000 0.489
Al: 0.500 0.500 0.777
Mo: 0.500 0.500 0.225
Mo: 0.000 0.000 0.009

---

6.
VASP calculation (PBE) on a relaxed ScAlMo2 crystal.

Calculated density ... 6.53 Mg/m³
Space group ... P4/mmm, No. 123
Total energy ... -7.99 eV/atom
Energy of formation ... -0.06 eV/atom

Unit cell a=4.451 b=3.883 c=3.883 alpha=90.00 beta=90.00 gamma=90.00
Positions (direct):
Mo: 0.000 0.000 0.000
Mo: 0.000 0.500 0.500
Sc: 0.500 0.500 0.000
Al: 0.500 0.000 0.500

---

7.
VASP calculation (PBE) on a relaxed ScAl2Mo crystal.

Calculated density ... 4.58 Mg/m³
Space group ... R3m, No. 160
Total energy ... -6.09 eV/atom
Energy above the lowest structure with this stoichiometry ... 152.3 kJ/mol of formula units
Energy of formation ... 0.07 eV/atom

Unit cell a=9.588 b=9.588 c=9.588 alpha=17.64 beta=17.64 gamma=17.64
Positions (direct):
Mo: 0.505 0.505 0.505
Sc: 0.752 0.752 0.752
Al: 0.248 0.248 0.248
Al: 0.996 0.996 0.996

---

8.
VASP calculation (PBE) on a relaxed ScAlMo crystal.

Calculated density ... 5.13 Mg/m³
Space group ... Imma, No. 74
Total energy ... -7.29 eV/atom
Energy above the lowest structure with this stoichiometry ... 0.0 kJ/mol of formula units
Energy of formation ... -0.32 eV/atom

Unit cell a=5.229 b=5.383 c=5.383 alpha=59.92 beta=60.94 gamma=60.94
Positions (direct):
Mo: 0.000 0.000 0.000
Mo: 0.500 0.000 0.000
Al: 0.500 0.000 0.500
Al: 0.500 0.500 0.000
Sc: 0.118 0.632 0.632
Sc: 0.882 0.368 0.368

---

Which of these has the highest energy of formation? number 3

---

What did the second record say?
VASP calculation (PBE) on a relaxed Sc2AlMo crystal.

Calculated density ... 4.56 Mg/m³
Space group ... R3m, No. 160
Total energy ... -6.69 eV/atom
Energy of formation ... 0.11 eV/atom

Unit cell a=9.946 b=9.946 c=9.946 alpha=17.48 beta=17.48 gamma=17.48
Positions (direct):
Mo: 0.755 0.755 0.755
Al: 0.494 0.494 0.494
Sc: 0.245 0.245 0.245
Sc: 0.006 0.006 0.006

---

Which of these has the highest calculated density? number 6

---

Which formula does entry 5 have? ScAlMo2